Record 1
First-principles (PBE-GGA) data for crystalline NdSnAu3 at its relaxed geometry, as listed in Alexandria.

Cell lengths 7.5385, 7.6749, 8.4568 Å; angles 90.00, 110.10, 90.00 degrees
Last column: nearest neighbours and their distance in Å.
Space group P2_1/c (No. 14)
Symmetry-distinct sites (fractional):
Nd  0.1963  0.0453  0.2359 x4  9 Au 2.98-3.28
Sn  0.3988  0.7240  0.5372 x4  6 Au 2.79-3.07
Au  0.0348  0.6814  0.0352 x4  1 Sn 2.83, 3 Au 2.86-3.04, 1 Nd 3.15
Au  0.2046  0.0726  0.8668 x4  2 Au 2.82-2.92, 2 Sn 2.82-3.05, 3 Nd 2.98-3.15
Au  0.3855  0.1100  0.6276 x4  3 Sn 2.79-3.07, 2 Au 2.82-3.04

## Properties
* total moment: 0.00 μB/atom
* calculated total energy: -4.26 eV/atom
* energy above the most stable polymorph in this dataset: 13 meV/atom
* E_form: -0.536 eV per atom

***

Record 2
First-principles (PBE-GGA) data for crystalline Nd2SnAu4 at its relaxed geometry, as listed in Alexandria.

Cell lengths 4.5808, 4.5808, 29.8788 Å; angles 90.00, 90.00, 120.00 degrees
Last column: nearest neighbours and their distance in Å.
Space group R-3m (No. 166, hexagonal axes)
Symmetry-distinct sites (fractional):
Nd  0.0000  0.0000  0.2459 x6  7 Au 3.06-3.11
Sn  0.0000  0.0000  0.0000 x3  6 Au 2.85
Au  0.0000  0.0000  0.1421 x6  3 Au 3.02, 4 Nd 3.10-3.11
Au  0.0000  0.0000  0.3690 x6  3 Sn 2.85, 3 Nd 3.06

## Properties
* total moment: 0.00 μB/atom
* calculated total energy: -4.40 eV/atom
* E_form: -0.593 eV per atom

***

Record 3
First-principles (PBE-GGA) data for crystalline Nd6Sn3Au at its relaxed geometry, as listed in Alexandria.

Cell lengths 11.3461, 15.1828, 7.3534 Å; angles 90.00, 90.00, 90.00 degrees
Last column: nearest neighbours and their distance in Å.
Space group Cmc2_1 (No. 36)
Symmetry-distinct sites (fractional):
Nd  0.0000  0.0421  0.0000 x4  1 Au 2.92, 4 Sn 3.19-3.23
Nd  0.0000  0.2956  0.9748 x4  1 Au 3.21
Nd  0.1800  0.2966  0.4395 x8  1 Au 3.04, 3 Sn 3.11-3.28
Nd  0.2230  0.4506  0.7981 x8  4 Sn 3.22-3.32, 1 Nd 3.56, 1 Au 3.57
Sn  0.0000  0.4619  0.5109 x4  6 Nd 3.26-3.30
Sn  0.1398  0.1250  0.6654 x8  1 Au 3.09, 6 Nd 3.11-3.32, 1 Sn 3.17
Au  0.0000  0.1612  0.3123 x4  4 Nd 2.92-3.21, 2 Sn 3.09

## Properties
* total moment: 0.00 μB/atom
* calculated total energy: -4.88 eV/atom
* E_form: -0.494 eV per atom

***

Record 4
First-principles (PBE-GGA) data for crystalline Nd4SnAu3 at its relaxed geometry, as listed in Alexandria.

Cell lengths 4.0827, 4.7286, 11.4295 Å; angles 90.00, 90.00, 90.00 degrees
Last column: nearest neighbours and their distance in Å.
Space group Pmm2 (No. 25)
Symmetry-distinct sites (fractional):
Nd  0.0000  0.0000  0.0000 x1  6 Au 3.17-3.20, 1 Sn 3.26
Nd  0.0000  0.5000  0.2680 x1  7 Au 3.11-3.23
Nd  0.5000  0.0000  0.4846 x1  5 Au 3.08-3.19, 2 Sn 3.33
Nd  0.5000  0.5000  0.7764 x1  3 Au 3.12-3.39, 4 Sn 3.20
Sn  0.0000  0.0000  0.7145 x1  2 Au 3.09, 7 Nd 3.20-3.33
Au  0.0000  0.5000  0.5400 x1  2 Sn 3.09, 7 Nd 3.11-3.39
Au  0.5000  0.0000  0.2152 x1  2 Au 3.03, 7 Nd 3.08-3.20
Au  0.5000  0.5000  0.0495 x1  2 Au 3.03, 7 Nd 3.12-3.23

## Properties
* total moment: 0.00 μB/atom
* calculated total energy: -4.88 eV/atom
* E_form: -0.762 eV per atom

***

Record 5
First-principles (PBE-GGA) data for crystalline Nd3Sn2Au4 at its relaxed geometry, as listed in Alexandria.

Cell lengths 11.2830, 4.7105, 9.2034 Å; angles 90.00, 114.78, 90.00 degrees
Last column: nearest neighbours and their distance in Å.
Space group C2/m (No. 12)
Symmetry-distinct sites (fractional):
Nd  0.0000  0.0000  0.0000 x2  8 Au 3.25-3.59, 4 Sn 3.43
Nd  0.1501  0.5000  0.6846 x4  7 Au 3.13-3.38, 4 Sn 3.27-3.50
Sn  0.1324  0.5000  0.2957 x4  3 Au 2.76-2.77
Au  0.0858  0.0000  0.4224 x4  2 Sn 2.77, 1 Au 2.85
Au  0.2116  0.5000  0.0493 x4  1 Sn 2.76, 2 Au 2.79

## Properties
* total moment: 0.00 μB/atom
* calculated total energy: -4.72 eV/atom
* E_form: -0.788 eV per atom

***

Record 6
First-principles (PBE-GGA) data for crystalline Nd12Sn6Au at its relaxed geometry, as listed in Alexandria.

Cell lengths 13.7651, 13.7651, 12.6560 Å; angles 90.00, 90.00, 120.00 degrees
Last column: nearest neighbours and their distance in Å.
Space group R-3 (No. 148, hexagonal axes)
Symmetry-distinct sites (fractional):
Nd  0.0311  0.2015  0.3930 x18  4 Sn 3.17-3.32
Nd  0.0605  0.2087  0.8851 x18  1 Au 2.94, 2 Sn 3.19-3.21
Sn  0.0441  0.2743  0.6448 x18  7 Nd 3.17-3.37
Au  0.0000  0.0000  0.0000 x3  6 Nd 2.94

## Properties
* total moment: 0.00 μB/atom
* calculated total energy: -4.86 eV/atom
* E_form: -0.409 eV per atom

***

Record 7
First-principles (PBE-GGA) data for crystalline NdSn2Au at its relaxed geometry, as listed in Alexandria.

Cell lengths 7.5547, 4.6742, 11.8309 Å; angles 90.00, 90.00, 90.00 degrees
Last column: nearest neighbours and their distance in Å.
Space group Pnma (No. 62)
Symmetry-distinct sites (fractional):
Nd  0.1756  0.2500  0.1573 x4  2 Au 3.17, 4 Sn 3.28-3.31
Sn  0.1296  0.2500  0.8812 x4  1 Au 2.70, 2 Sn 2.98
Sn  0.1404  0.2500  0.4358 x4  3 Au 2.76-2.94, 2 Sn 2.98
Au  0.0412  0.2500  0.6603 x4  4 Sn 2.70-2.94

## Properties
* total moment: 0.00 μB/atom
* calculated total energy: -4.58 eV/atom
* E_form: -0.572 eV per atom

***

Record 8
First-principles (PBE-GGA) data for crystalline Nd4Sn8Au at its relaxed geometry, as listed in Alexandria.

Cell lengths 4.4377, 4.5076, 17.9554 Å; angles 90.00, 90.00, 90.00 degrees
Last column: nearest neighbours and their distance in Å.
Space group Pmm2 (No. 25)
Symmetry-distinct sites (fractional):
Nd  0.0000  0.0000  0.0000 x1  10 Sn 3.20-3.41
Nd  0.0000  0.5000  0.4752 x1  10 Sn 3.26-3.61
Nd  0.5000  0.0000  0.7875 x1  4 Au 3.42, 8 Sn 3.44-3.82
Nd  0.5000  0.5000  0.2818 x1  10 Sn 3.23-3.50
Sn  0.0000  0.0000  0.3184 x1  2 Sn 3.00, 4 Nd 3.23
Sn  0.0000  0.0000  0.6178 x1  2 Au 2.85, 4 Sn 3.16
Sn  0.0000  0.5000  0.1392 x1  4 Sn 3.16, 4 Nd 3.37-3.39
Sn  0.0000  0.5000  0.8632 x1  1 Au 2.66, 2 Sn 2.95
Sn  0.5000  0.0000  0.1439 x1  4 Sn 3.16, 4 Nd 3.35-3.41
Sn  0.5000  0.0000  0.4307 x1  2 Sn 3.00, 4 Nd 3.26
Sn  0.5000  0.5000  0.6161 x1  2 Au 2.84, 4 Sn 3.16
Sn  0.5000  0.5000  0.9715 x1  2 Sn 2.95, 4 Nd 3.20
Au  0.0000  0.5000  0.7151 x1  5 Sn 2.66-2.85

## Properties
* total moment: 0.00 μB/atom
* calculated total energy: -4.80 eV/atom
* E_form: -0.613 eV per atom

***

Record 9
First-principles (PBE-GGA) data for crystalline NdSn3Au at its relaxed geometry, as listed in Alexandria.

Cell lengths 12.9057, 6.3274, 6.3430 Å; angles 90.00, 90.00, 90.00 degrees
Last column: nearest neighbours and their distance in Å.
Space group Pbcm (No. 57)
Symmetry-distinct sites (fractional):
Nd  0.1940  0.0049  0.2500 x4  9 Sn 3.20-3.38, 2 Au 3.35
Sn  0.0007  0.2500  0.0000 x4  4 Sn 3.16-3.17, 4 Nd 3.34-3.38
Sn  0.2493  0.5127  0.2500 x4  2 Au 2.92, 3 Nd 3.20-3.25, 1 Sn 3.26
Sn  0.4337  0.6343  0.7500 x4  4 Au 2.88-2.96, 1 Nd 3.22
Au  0.3889  0.2500  0.0000 x4  6 Sn 2.88-2.96, 2 Au 3.17

## Properties
* total moment: 0.00 μB/atom
* calculated total energy: -4.45 eV/atom
* E_form: -0.440 eV per atom

***

Record 10
First-principles (PBE-GGA) data for crystalline NdSnAu4 at its relaxed geometry, as listed in Alexandria.

Cell lengths 5.3296, 5.3296, 9.2704 Å; angles 90.00, 90.05, 90.00 degrees
Last column: nearest neighbours and their distance in Å.
Space group C2/m (No. 12)
Symmetry-distinct sites (fractional):
Nd  0.0000  0.0000  0.0000 x2  10 Au 3.12-3.13
Sn  0.0000  0.5000  0.5000 x2  10 Au 3.00-3.07
Au  0.0014  0.0000  0.3367 x4  5 Au 3.03-3.05, 4 Sn 3.06-3.07, 1 Nd 3.12
Au  0.0006  0.5000  0.1763 x4  1 Sn 3.00, 5 Au 3.05-3.27, 4 Nd 3.12-3.13

## Properties
* total moment: 0.00 μB/atom
* calculated total energy: -4.06 eV/atom
* energy above the most stable polymorph in this dataset: 0 meV/atom
* E_form: -0.411 eV per atom

***

Record 11
First-principles (PBE-GGA) data for crystalline NdSnAu at its relaxed geometry, as listed in Alexandria.

Cell lengths 8.6293, 8.6293, 4.7947 Å; angles 90.00, 90.00, 90.00 degrees
Last column: nearest neighbours and their distance in Å.
Space group P4_2/m (No. 84)
Symmetry-distinct sites (fractional):
Nd  0.0909  0.7137  0.0000 x4  3 Au 3.01-3.13, 3 Sn 3.32-3.34
Sn  0.1681  0.4595  0.5000 x4  3 Au 2.78-2.79, 1 Sn 2.98
Au  0.2555  0.3219  0.0000 x4  3 Sn 2.78-2.79, 1 Nd 3.01

## Properties
* total moment: 0.00 μB/atom
* calculated total energy: -4.56 eV/atom
* E_form: -0.541 eV per atom

***

Record 12
First-principles (PBE-GGA) data for crystalline NdSnAu3 at its relaxed geometry, as listed in Alexandria.

Cell lengths 9.2490, 5.0346, 9.6683 Å; angles 90.00, 90.00, 90.00 degrees
Last column: nearest neighbours and their distance in Å.
Space group Pnma (No. 62)
Symmetry-distinct sites (fractional):
Nd  0.2341  0.2500  0.0070 x4  8 Au 3.11-3.45, 2 Sn 3.38
Sn  0.0933  0.2500  0.3423 x4  3 Au 2.68-2.79
Au  0.0860  0.2500  0.6311 x4  2 Au 2.75-2.89, 3 Sn 2.79-3.03
Au  0.1019  0.7500  0.1483 x4  3 Au 2.75-2.89
Au  0.1077  0.7500  0.8569 x4  2 Sn 2.68-2.77, 1 Au 2.82

## Properties
* total moment: 0.00 μB/atom
* calculated total energy: -4.27 eV/atom
* energy above the most stable polymorph in this dataset: 0 meV/atom
* E_form: -0.549 eV per atom

***

Record 13
First-principles (PBE-GGA) data for crystalline TbNdSnAu at its relaxed geometry, as listed in Alexandria.

Cell lengths 7.5167, 7.5167, 7.5167 Å; angles 90.00, 90.00, 90.00 degrees
Last column: nearest neighbours and their distance in Å.
Space group F-43m (No. 216)
Symmetry-distinct sites (fractional):
Tb  0.0000  0.0000  0.0000 x4  4 Sn 3.25, 4 Au 3.25
Nd  0.0000  0.0000  0.5000 x4  4 Au 3.25, 4 Sn 3.25
Sn  0.2500  0.2500  0.2500 x4  4 Tb 3.25, 4 Nd 3.25
Au  0.2500  0.2500  0.7500 x4  4 Tb 3.25, 4 Nd 3.25

## Properties
* total moment: 0.19 μB/atom
* calculated total energy: -4.88 eV/atom
* E_form: -0.711 eV per atom

***

Record 14
First-principles (PBE-GGA) data for crystalline NdThSnAu at its relaxed geometry, as listed in Alexandria.

Cell lengths 7.6097, 7.6097, 7.6097 Å; angles 90.00, 90.00, 90.00 degrees
Last column: nearest neighbours and their distance in Å.
Space group F-43m (No. 216)
Symmetry-distinct sites (fractional):
Nd  0.0000  0.0000  0.0000 x4  4 Au 3.30, 4 Sn 3.30
Th  0.0000  0.0000  0.5000 x4  4 Sn 3.30, 4 Au 3.30
Sn  0.2500  0.2500  0.7500 x4  4 Nd 3.30, 4 Th 3.30
Au  0.2500  0.2500  0.2500 x4  4 Th 3.30, 4 Nd 3.30

## Properties
* total moment: 0.00 μB/atom
* calculated total energy: -5.44 eV/atom
* E_form: -0.570 eV per atom

***

Record 15
First-principles (PBE-GGA) data for crystalline NdTlSnAu at its relaxed geometry, as listed in Alexandria.

Cell lengths 7.4410, 7.4410, 7.4410 Å; angles 90.00, 90.00, 90.00 degrees
Last column: nearest neighbours and their distance in Å.
Space group F-43m (No. 216)
Symmetry-distinct sites (fractional):
Nd  0.0000  0.0000  0.0000 x4  4 Tl 3.22, 4 Au 3.22
Tl  0.2500  0.2500  0.7500 x4  4 Sn 3.22, 4 Nd 3.22
Sn  0.0000  0.0000  0.5000 x4  4 Au 3.22, 4 Tl 3.22
Au  0.2500  0.2500  0.2500 x4  4 Sn 3.22, 4 Nd 3.22

## Properties
* total moment: 0.00 μB/atom
* calculated total energy: -3.98 eV/atom
* E_form: -0.377 eV per atom

***

Record 16
First-principles (PBE-GGA) data for crystalline NdYSnAu at its relaxed geometry, as listed in Alexandria.

Cell lengths 7.5082, 7.5082, 7.5082 Å; angles 90.00, 90.00, 90.00 degrees
Last column: nearest neighbours and their distance in Å.
Space group F-43m (No. 216)
Symmetry-distinct sites (fractional):
Nd  0.0000  0.0000  0.0000 x4  4 Au 3.25, 4 Sn 3.25
Y  0.0000  0.0000  0.5000 x4  4 Sn 3.25, 4 Au 3.25
Sn  0.2500  0.2500  0.2500 x4  4 Nd 3.25, 4 Y 3.25
Au  0.2500  0.2500  0.7500 x4  4 Y 3.25, 4 Nd 3.25

## Properties
* total moment: 0.18 μB/atom
* calculated total energy: -5.35 eV/atom
* E_form: -0.723 eV per atom

***

Record 17
First-principles (PBE-GGA) data for crystalline Nd2Zn3SnAu4 at its relaxed geometry, as listed in Alexandria.

Cell lengths 4.3077, 4.3077, 11.5322 Å; angles 90.00, 90.00, 90.00 degrees
Last column: nearest neighbours and their distance in Å.
Space group P-4m2 (No. 115)
Symmetry-distinct sites (fractional):
Nd  0.0000  0.5000  0.2417 x2  8 Au 3.29-3.52, 6 Zn 3.30-3.68, 2 Sn 3.68
Zn  0.0000  0.5000  0.8691 x2  5 Au 2.52-2.63
Zn  0.5000  0.5000  0.5000 x1  4 Au 2.77, 4 Sn 3.05
Sn  0.0000  0.0000  0.5000 x1  4 Au 2.77, 4 Zn 3.05
Au  0.0000  0.0000  0.0000 x1  4 Zn 2.63
Au  0.0000  0.5000  0.6508 x2  3 Zn 2.52-2.77, 2 Sn 2.77
Au  0.5000  0.5000  0.0000 x1  4 Zn 2.63

## Properties
* total moment: 0.00 μB/atom
* calculated total energy: -3.58 eV/atom
* E_form: -0.532 eV per atom

***

Record 18
First-principles (PBE-GGA) data for crystalline Nd2Zn4SnAu3 at its relaxed geometry, as listed in Alexandria.

Cell lengths 4.3119, 4.3119, 11.3428 Å; angles 90.00, 90.00, 90.00 degrees
Last column: nearest neighbours and their distance in Å.
Space group P-4m2 (No. 115)
Symmetry-distinct sites (fractional):
Nd  0.0000  0.5000  0.2446 x2  6 Au 3.30-3.61, 8 Zn 3.30-3.51, 2 Sn 3.61
Zn  0.0000  0.0000  0.0000 x1  4 Au 2.64
Zn  0.0000  0.5000  0.6439 x2  3 Au 2.51-2.70, 2 Sn 2.70
Zn  0.5000  0.5000  0.0000 x1  4 Au 2.64
Sn  0.0000  0.0000  0.5000 x1  4 Zn 2.70
Au  0.0000  0.5000  0.8657 x2  5 Zn 2.51-2.64
Au  0.5000  0.5000  0.5000 x1  4 Zn 2.70

## Properties
* total moment: 0.00 μB/atom
* calculated total energy: -3.35 eV/atom
* E_form: -0.501 eV per atom

***

Record 19
First-principles (PBE-GGA) data for crystalline NdZn2SnAu5 at its relaxed geometry, as listed in Alexandria.

Cell lengths 4.8883, 4.8883, 7.8933 Å; angles 90.00, 90.00, 90.00 degrees
Last column: nearest neighbours and their distance in Å.
Space group P4/mmm (No. 123)
Symmetry-distinct sites (fractional):
Nd  0.0000  0.0000  0.0000 x1  12 Au 3.10-3.46
Zn  0.5000  0.5000  0.3457 x2  1 Zn 2.44, 4 Au 2.58
Sn  0.0000  0.0000  0.5000 x1  8 Au 3.18
Au  0.0000  0.5000  0.2417 x4  2 Zn 2.58
Au  0.5000  0.5000  0.0000 x1  2 Zn 2.73

## Properties
* total moment: 0.00 μB/atom
* calculated total energy: -3.37 eV/atom
* E_form: -0.289 eV per atom

***

Record 20
First-principles (PBE-GGA) data for crystalline Sr3NdAu4 at its relaxed geometry, as listed in Alexandria.

Cell lengths 7.5890, 7.5890, 7.5890 Å; angles 90.00, 90.00, 90.00 degrees
Last column: nearest neighbours and their distance in Å.
Space group Im-3m (No. 229)
Symmetry-distinct sites (fractional):
Sr  0.0000  0.0000  0.5000 x6  8 Au 3.29
Nd  0.0000  0.0000  0.0000 x2  8 Au 3.29
Au  0.2500  0.2500  0.2500 x8  2 Nd 3.29, 6 Sr 3.29

## Properties
* total moment: 0.00 μB/atom
* calculated total energy: -3.59 eV/atom
* E_form: -0.724 eV per atom